Entry from Alexandria via LeMat-Bulk: crystalline MgZrW2 at its relaxed geometry (PBE).

Cell and atoms, written as CIF:
```
data_MgZrW2
_chemical_formula_sum 'Mg2 Zr2 W4'
_cell_length_a 5.676
_cell_length_b 9.439
_cell_length_c 2.716
_cell_angle_alpha 90.00
_cell_angle_beta 90.00
_cell_angle_gamma 90.00
_space_group_name_H-M_alt 'C m m m'
_space_group_IT_number 65
_space_group_name_Hall '-C 2 2'
loop_
_atom_site_label
_atom_site_type_symbol
_atom_site_fract_x
_atom_site_fract_y
_atom_site_fract_z
Mg1 Mg 0.000 0.000 0.000
Zr1 Zr 0.000 0.500 0.000
W1 W 0.250 0.250 0.500
```

spin magnetization = 0.00 Bohr magnetons per cell
energy of formation from the pure elements = 1.71 eV per formula unit